No. 1
Entry from the Alexandria database: a geometry-optimized CdIr2Br structure (PBEsol).

Output
Offset from the most stable computed form in eV/atom: 0.0000
Calculated volume in Å³/f.u.: 68.3
Fermi-level density of states in states/eV per cell: 4.260

a b c (Å): 5.663 5.663 5.663
angles (deg): 150.31 130.13 59.12
Atoms (fractional coordinates):
Cd1 0.000 0.000 0.000
Ir1 0.266 0.766 0.500
Ir2 0.490 0.490 0.000
Br1 0.711 0.211 0.500



No. 2
Entry from the Alexandria database: a geometry-optimized CdIr2Br structure (PBEsol).

Output
Offset from the most stable computed form in eV/atom: 0.0610
Calculated volume in Å³/f.u.: 65.2
Fermi-level density of states in states/eV per cell: 2.500

a b c (Å): 2.946 2.946 7.508
angles (deg): 90.00 90.00 90.00
Atoms (fractional coordinates):
Cd1 0.000 0.000 0.000
Ir1 0.500 0.500 0.265
Ir2 0.500 0.500 0.735
Br1 0.000 0.000 0.500



No. 3
Entry from the Alexandria database: a geometry-optimized CdIrSe2Br structure (PBEsol).

Output
Calculated volume in Å³/f.u.: 131.4
Fermi-level density of states in states/eV per cell: 7.910

a b c (Å): 5.066 5.066 5.120
angles (deg): 90.00 90.00 90.00
Atoms (fractional coordinates):
Cd1 0.000 0.000 0.000
Ir1 0.500 0.500 0.500
Se1 0.000 0.500 0.000
Se2 0.500 0.000 0.000
Br1 0.000 0.000 0.500



No. 4
Entry from the Alexandria database: a geometry-optimized CdTc2IrBr structure (PBEsol).

Output
Calculated volume in Å³/f.u.: 122.8
Fermi-level density of states in states/eV per cell: 4.638

a b c (Å): 5.029 5.029 4.857
angles (deg): 90.00 90.00 90.00
Atoms (fractional coordinates):
Cd1 0.000 0.000 0.000
Tc1 0.000 0.500 0.000
Tc2 0.500 0.000 0.000
Ir1 0.500 0.500 0.500
Br1 0.000 0.000 0.500



No. 5
Entry from the Alexandria database: a geometry-optimized TiCdIr2Br structure (PBEsol).

Output
Calculated volume in Å³/f.u.: 118.1
Fermi-level density of states in states/eV per cell: 10.194

a b c (Å): 4.851 4.851 5.017
angles (deg): 90.00 90.00 90.00
Atoms (fractional coordinates):
Ti1 0.000 0.000 0.000
Cd1 0.000 0.000 0.500
Ir1 0.000 0.500 0.500
Ir2 0.500 0.000 0.500
Br1 0.500 0.500 0.000



No. 6
Entry from the Alexandria database: a geometry-optimized KCd2Br structure (PBEsol).

Output
Offset from the most stable computed form in eV/atom: 0.0000
Calculated volume in Å³/f.u.: 119.6
Fermi-level density of states in states/eV per cell: 1.106

a b c (Å): 7.097 7.097 7.097
angles (deg): 144.56 144.56 50.99
Atoms (fractional coordinates):
K1 0.000 0.000 0.000
Cd1 0.250 0.750 0.500
Cd2 0.750 0.250 0.500
Br1 0.500 0.500 0.000



No. 7
Entry from the Alexandria database: a geometry-optimized K2CdBr structure (PBEsol).

Output
Calculated volume in Å³/f.u.: 133.6
Fermi-level density of states in states/eV per cell: 1.524

a b c (Å): 3.927 3.927 8.661
angles (deg): 90.00 90.00 90.00
Atoms (fractional coordinates):
K1 0.000 0.000 0.222
K2 0.000 0.000 0.778
Cd1 0.500 0.500 0.500
Br1 0.500 0.500 0.000



No. 8
Entry from the Alexandria database: a geometry-optimized KCdBr2 structure (PBEsol).

Output
Offset from the most stable computed form in eV/atom: 0.0000
Calculated volume in Å³/f.u.: 154.3
Fermi-level density of states in states/eV per cell: 1.473

a b c (Å): 9.537 9.537 9.537
angles (deg): 26.69 26.69 26.69
Atoms (fractional coordinates):
K1 0.000 0.000 0.000
Cd1 0.500 0.500 0.500
Br1 0.403 0.403 0.403
Br2 0.597 0.597 0.597



No. 9
Entry from the Alexandria database: a geometry-optimized KCdBr2 structure (PBEsol).

Output
Offset from the most stable computed form in eV/atom: 0.2657
Calculated volume in Å³/f.u.: 115.4
Fermi-level density of states in states/eV per cell: 3.875

a b c (Å): 5.464 5.464 5.464
angles (deg): 60.00 60.00 60.00
Atoms (fractional coordinates):
K1 0.000 0.000 0.000
Cd1 0.250 0.250 0.250
Br1 0.500 0.500 0.500
Br2 0.750 0.750 0.750



No. 10
Entry from the Alexandria database: a geometry-optimized KCd2Br structure (PBEsol).

Output
Offset from the most stable computed form in eV/atom: 0.3113
Calculated volume in Å³/f.u.: 130.0
Fermi-level density of states in states/eV per cell: 0.009

a b c (Å): 5.686 5.686 5.686
angles (deg): 60.00 60.00 60.00
Atoms (fractional coordinates):
K1 0.000 0.000 0.000
Cd1 0.250 0.250 0.250
Cd2 0.750 0.750 0.750
Br1 0.500 0.500 0.500



No. 11
Entry from the Alexandria database: a geometry-optimized KCd2Br structure (PBEsol).

Output
Offset from the most stable computed form in eV/atom: 0.2879
Calculated volume in Å³/f.u.: 130.5

a b c (Å): 9.686 9.686 9.686
angles (deg): 23.84 23.84 23.84
Atoms (fractional coordinates):
K1 0.000 0.000 0.000
Cd1 0.238 0.238 0.238
Cd2 0.762 0.762 0.762
Br1 0.500 0.500 0.500



No. 12
Entry from the Alexandria database: a geometry-optimized K2CdSiBr structure (PBEsol).

Output
Calculated volume in Å³/f.u.: 192.8
Fermi-level density of states in states/eV per cell: 2.587

a b c (Å): 6.396 6.396 4.715
angles (deg): 90.00 90.00 90.00
Atoms (fractional coordinates):
K1 0.000 0.500 0.000
K2 0.500 0.000 0.000
Cd1 0.000 0.000 0.500
Si1 0.000 0.000 0.000
Br1 0.500 0.500 0.500



No. 13
Entry from the Alexandria database: a geometry-optimized K2CdTeBr structure (PBEsol).

Output
Calculated volume in Å³/f.u.: 235.9
Fermi-level density of states in states/eV per cell: 0.385

a b c (Å): 6.646 6.646 5.342
angles (deg): 90.00 90.00 90.00
Atoms (fractional coordinates):
K1 0.000 0.500 0.000
K2 0.500 0.000 0.000
Cd1 0.000 0.000 0.000
Te1 0.000 0.000 0.500
Br1 0.500 0.500 0.500



No. 14
Entry from the Alexandria database: a geometry-optimized La2CdBr structure (PBEsol).

Output
Offset from the most stable computed form in eV/atom: 0.0114
Calculated volume in Å³/f.u.: 107.9
Fermi-level density of states in states/eV per cell: 3.774

a b c (Å): 3.562 3.562 8.499
angles (deg): 90.00 90.00 90.00
Atoms (fractional coordinates):
La1 0.000 0.000 0.247
La2 0.000 0.000 0.753
Cd1 0.500 0.500 0.500
Br1 0.500 0.500 0.000



No. 15
Entry from the Alexandria database: a geometry-optimized La2CdBr structure (PBEsol).

Output
Offset from the most stable computed form in eV/atom: 0.0000
Calculated volume in Å³/f.u.: 119.5
Fermi-level density of states in states/eV per cell: 2.982

a b c (Å): 4.031 4.736 6.256
angles (deg): 90.00 90.00 90.00
Atoms (fractional coordinates):
La1 0.000 0.000 0.000
La2 0.500 0.500 0.500
Cd1 0.000 0.000 0.500
Br1 0.500 0.500 0.000



No. 16
Entry from the Alexandria database: a geometry-optimized La2CdBr structure (PBEsol).

Output
Offset from the most stable computed form in eV/atom: 0.0543
Calculated volume in Å³/f.u.: 113.5
Fermi-level density of states in states/eV per cell: 2.781

a b c (Å): 5.303 6.246 6.246
angles (deg): 33.27 90.00 90.00
Atoms (fractional coordinates):
La1 0.000 0.000 0.000
La2 0.500 0.251 0.251
Cd1 0.500 0.513 0.513
Br1 0.000 0.744 0.744



No. 17
Entry from the Alexandria database: a geometry-optimized LaCdBr2 structure (PBEsol).

Output
Offset from the most stable computed form in eV/atom: 0.0000
Calculated volume in Å³/f.u.: 118.8
Fermi-level density of states in states/eV per cell: 1.027

a b c (Å): 3.643 3.643 8.955
angles (deg): 90.00 90.00 90.00
Atoms (fractional coordinates):
La1 0.000 0.000 0.000
Cd1 0.000 0.000 0.500
Br1 0.500 0.500 0.192
Br2 0.500 0.500 0.808



No. 18
Entry from the Alexandria database: a geometry-optimized La2CdBr structure (PBEsol).

Output
Offset from the most stable computed form in eV/atom: 0.1561
Calculated volume in Å³/f.u.: 112.3
Fermi-level density of states in states/eV per cell: 4.954

a b c (Å): 5.486 5.486 5.486
angles (deg): 126.56 117.19 86.99
Atoms (fractional coordinates):
La1 0.238 0.238 0.000
La2 0.762 0.762 0.000
Cd1 0.500 0.000 0.500
Br1 0.000 0.500 0.500



No. 19
Entry from the Alexandria database: a geometry-optimized LaCdBr2 structure (PBEsol).

Output
Offset from the most stable computed form in eV/atom: 0.1296
Calculated volume in Å³/f.u.: 119.0
Fermi-level density of states in states/eV per cell: 2.761

a b c (Å): 6.294 6.294 6.294
angles (deg): 143.40 125.66 67.31
Atoms (fractional coordinates):
La1 0.000 0.000 0.000
Cd1 0.500 0.500 0.000
Br1 0.210 0.710 0.500
Br2 0.790 0.290 0.500



No. 20
Entry from the Alexandria database: a geometry-optimized La2CdBr structure (PBEsol).

Output
Offset from the most stable computed form in eV/atom: 0.6370
Calculated volume in Å³/f.u.: 109.1
Fermi-level density of states in states/eV per cell: 5.326

a b c (Å): 5.364 5.364 5.364
angles (deg): 60.00 60.00 60.00
Atoms (fractional coordinates):
La1 0.000 0.000 0.000
La2 0.250 0.250 0.250
Cd1 0.500 0.500 0.500
Br1 0.750 0.750 0.750



No. 21
Entry from the Alexandria database: a geometry-optimized Li2CdBr structure (PBEsol).

Output
Calculated volume in Å³/f.u.: 87.6
Fermi-level density of states in states/eV per cell: 1.334

a b c (Å): 3.802 6.043 3.813
angles (deg): 90.00 90.00 90.00
Atoms (fractional coordinates):
Li1 0.000 0.000 0.000
Li2 0.498 0.500 0.320
Cd1 0.998 0.500 0.814
Br1 0.500 0.000 0.475



No. 22
Entry from the Alexandria database: a geometry-optimized MgCdBr2 structure (PBEsol).

Output
Offset from the most stable computed form in eV/atom: 0.0000
Calculated volume in Å³/f.u.: 122.8
Fermi-level density of states in states/eV per cell: 0.157

a b c (Å): 3.719 3.719 10.219
angles (deg): 90.00 90.00 119.69
Atoms (fractional coordinates):
Mg1 0.000 0.000 0.000
Cd1 0.000 0.000 0.500
Br1 0.500 0.500 0.171
Br2 0.500 0.500 0.829



No. 23
Entry from the Alexandria database: a geometry-optimized MgCdBr2 structure (PBEsol).

Output
Offset from the most stable computed form in eV/atom: 0.0563
Calculated volume in Å³/f.u.: 105.6

a b c (Å): 6.019 6.019 6.019
angles (deg): 146.16 117.77 72.75
Atoms (fractional coordinates):
Mg1 0.000 0.000 0.000
Cd1 0.244 0.744 0.500
Br1 0.474 0.474 0.000
Br2 0.804 0.304 0.500



No. 24
Entry from the Alexandria database: a geometry-optimized Mg2CdBr structure (PBEsol).

Output
Offset from the most stable computed form in eV/atom: 0.1826
Calculated volume in Å³/f.u.: 94.7
Fermi-level density of states in states/eV per cell: 1.788

a b c (Å): 5.525 5.525 5.525
angles (deg): 130.70 130.70 72.29
Atoms (fractional coordinates):
Mg1 0.250 0.750 0.500
Mg2 0.750 0.250 0.500
Cd1 0.000 0.000 0.000
Br1 0.500 0.500 0.000



No. 25
Entry from the Alexandria database: a geometry-optimized Mg2CdBr structure (PBEsol).

Output
Offset from the most stable computed form in eV/atom: 0.0564
Calculated volume in Å³/f.u.: 92.2
Fermi-level density of states in states/eV per cell: 1.383

a b c (Å): 5.387 5.387 3.211
angles (deg): 95.25 95.25 85.55
Atoms (fractional coordinates):
Mg1 0.000 0.500 0.000
Mg2 0.500 0.000 0.000
Cd1 0.000 0.000 0.500
Br1 0.500 0.500 0.500



No. 26
Entry from the Alexandria database: a geometry-optimized Mg2CdBr structure (PBEsol).

Output
Offset from the most stable computed form in eV/atom: 0.0000
Calculated volume in Å³/f.u.: 95.3
Fermi-level density of states in states/eV per cell: 1.775

a b c (Å): 5.403 5.403 3.263
angles (deg): 90.00 90.00 90.00
Atoms (fractional coordinates):
Mg1 0.000 0.500 0.000
Mg2 0.500 0.000 0.000
Cd1 0.000 0.000 0.510
Br1 0.500 0.500 0.054



No. 27
Entry from the Alexandria database: a geometry-optimized Mg2CdBr structure (PBEsol).

Output
Offset from the most stable computed form in eV/atom: 0.0416
Calculated volume in Å³/f.u.: 95.7
Fermi-level density of states in states/eV per cell: 2.250

a b c (Å): 3.357 4.843 5.886
angles (deg): 90.00 90.00 90.00
Atoms (fractional coordinates):
Mg1 0.000 0.000 0.000
Mg2 0.500 0.500 0.500
Cd1 0.000 0.000 0.500
Br1 0.500 0.500 0.000



No. 28
Entry from the Alexandria database: a geometry-optimized MgCdSeBr2 structure (PBEsol).

Output
Calculated volume in Å³/f.u.: 133.3
Fermi-level density of states in states/eV per cell: 2.428

a b c (Å): 4.984 4.984 5.366
angles (deg): 90.00 90.00 90.00
Atoms (fractional coordinates):
Mg1 0.000 0.000 0.000
Cd1 0.500 0.500 0.500
Se1 0.000 0.000 0.500
Br1 0.000 0.500 0.000
Br2 0.500 0.000 0.000



No. 29
Entry from the Alexandria database: a geometry-optimized MgCd2TeBr structure (PBEsol).

Output
Calculated volume in Å³/f.u.: 161.1
Fermi-level density of states in states/eV per cell: 3.965

a b c (Å): 5.581 5.581 5.170
angles (deg): 90.00 90.00 90.00
Atoms (fractional coordinates):
Mg1 0.000 0.000 0.000
Cd1 0.000 0.500 0.000
Cd2 0.500 0.000 0.000
Te1 0.000 0.000 0.500
Br1 0.500 0.500 0.500



No. 30
Entry from the Alexandria database: a geometry-optimized MnCdSeBr2 structure (PBEsol).

Output
Offset from the most stable computed form in eV/atom: 0.0000
Calculated volume in Å³/f.u.: 122.5
Fermi-level density of states in states/eV per cell: 2.128

a b c (Å): 4.906 4.906 5.088
angles (deg): 90.00 90.00 90.00
Atoms (fractional coordinates):
Mn1 0.000 0.000 0.000
Cd1 0.500 0.500 0.500
Se1 0.000 0.000 0.500
Br1 0.000 0.500 0.000
Br2 0.500 0.000 0.000



Results for theoretical density: 14.03; 14.70; 6.85; 7.85; 8.79; 4.78; 3.36; 3.35; 4.48; 4.39; 4.38; 2.57; 2.80; 7.24; 6.54; 6.88; 5.74; 6.95; 5.73; 7.15; 3.91; 4.01; 4.66; 4.22; 4.34; 4.20; 4.18; 4.68; 4.71; 5.51 (in g/cm³, following the order of the records).
Results for formation energy (no corrections): 0.737; 0.798; 1.440; 2.868; 1.977; -0.531; -0.759; -0.799; -0.533; -0.220; -0.244; -0.255; -0.561; -0.770; -0.781; -0.727; -1.174; -0.625; -1.045; -0.144; -0.555; -0.724; -0.667; -0.123; -0.250; -0.306; -0.264; -0.460; 0.181; -0.140 (in eV/atom, following the order of the records).